Model a:
DFT (SCAN) results for a crystal of LiMnCu2 relaxed with PBEsol.

```
data_LiMnCu2
_chemical_formula_sum 'Li1 Mn1 Cu2'
_cell_length_a 2.382
_cell_length_b 2.382
_cell_length_c 7.981
_cell_angle_alpha 90.00
_cell_angle_beta 90.00
_cell_angle_gamma 90.00
_space_group_name_H-M_alt 'P 1'
_space_group_IT_number 1
_space_group_name_Hall 'P 1'
loop_
_atom_site_label
_atom_site_fract_x
_atom_site_fract_y
_atom_site_fract_z
Cu1 0.000 0.000 0.740
Cu2 0.000 0.000 0.260
Li1 0.500 0.500 0.000
Mn1 0.500 0.500 0.500
```

Space group: P4/mmm (123)
Total magnetization: 3.2 μB/f.u.

***

Model b:
DFT (SCAN) results for a crystal of LiMnCu2 relaxed with PBEsol.

```
data_LiMnCu2
_chemical_formula_sum 'Li1 Mn1 Cu2'
_cell_length_a 2.520
_cell_length_b 2.520
_cell_length_c 8.666
_cell_angle_alpha 81.64
_cell_angle_beta 81.64
_cell_angle_gamma 60.00
_space_group_name_H-M_alt 'P 1'
_space_group_IT_number 1
_space_group_name_Hall 'P 1'
loop_
_atom_site_label
_atom_site_fract_x
_atom_site_fract_y
_atom_site_fract_z
Cu1 0.251 0.251 0.246
Cu2 0.749 0.749 0.754
Li1 0.500 0.500 0.500
Mn1 0.000 0.000 0.000
```

Space group: R-3m (166)
Total magnetization: 3.4 μB/f.u.

***

Stability, descending: model b, model a

***

Model a:
DFT (SCAN) results for a crystal of Li2MnCu relaxed with PBEsol.

```
data_Li2MnCu
_chemical_formula_sum 'Li2 Mn1 Cu1'
_cell_length_a 2.377
_cell_length_b 2.377
_cell_length_c 8.725
_cell_angle_alpha 90.00
_cell_angle_beta 90.00
_cell_angle_gamma 98.77
_space_group_name_H-M_alt 'P 1'
_space_group_IT_number 1
_space_group_name_Hall 'P 1'
loop_
_atom_site_label
_atom_site_fract_x
_atom_site_fract_y
_atom_site_fract_z
Cu1 0.500 0.500 0.260
Li1 0.000 0.000 0.026
Li2 0.500 0.500 0.727
Mn1 0.000 0.000 0.486
```

Space group: Cmm2 (35)
Total magnetization: 0.6 μB/f.u.

***

Model b:
DFT (SCAN) results for a crystal of Li2MnCu relaxed with PBEsol.

```
data_Li2MnCu
_chemical_formula_sum 'Li2 Mn1 Cu1'
_cell_length_a 3.557
_cell_length_b 3.557
_cell_length_c 4.265
_cell_angle_alpha 90.00
_cell_angle_beta 90.00
_cell_angle_gamma 90.00
_space_group_name_H-M_alt 'P 1'
_space_group_IT_number 1
_space_group_name_Hall 'P 1'
loop_
_atom_site_label
_atom_site_fract_x
_atom_site_fract_y
_atom_site_fract_z
Cu1 0.000 0.000 0.500
Li1 0.000 0.500 0.000
Li2 0.500 0.000 0.000
Mn1 0.500 0.500 0.500
```

Space group: P4/mmm (123)
Total magnetization: 4.1 μB/f.u.

***

Model c:
DFT (SCAN) results for a crystal of Li2MnCu relaxed with PBEsol.

```
data_Li2MnCu
_chemical_formula_sum 'Li2 Mn1 Cu1'
_cell_length_a 2.721
_cell_length_b 2.721
_cell_length_c 7.851
_cell_angle_alpha 90.00
_cell_angle_beta 90.00
_cell_angle_gamma 90.00
_space_group_name_H-M_alt 'P 1'
_space_group_IT_number 1
_space_group_name_Hall 'P 1'
loop_
_atom_site_label
_atom_site_fract_x
_atom_site_fract_y
_atom_site_fract_z
Cu1 0.500 0.500 0.739
Li1 0.000 0.000 0.961
Li2 0.500 0.500 0.267
Mn1 0.000 0.000 0.533
```

Space group: P4mm (99)
Total magnetization: 4.0 μB/f.u.

***

Stability, descending: model c, model b, model a

***

Model a:
DFT (SCAN) results for a crystal of LiNbCu3 relaxed with PBEsol.

```
data_LiNbCu3
_chemical_formula_sum 'Li1 Nb1 Cu3'
_cell_length_a 4.758
_cell_length_b 4.758
_cell_length_c 4.758
_cell_angle_alpha 90.00
_cell_angle_beta 90.00
_cell_angle_gamma 90.00
_space_group_name_H-M_alt 'P 1'
_space_group_IT_number 1
_space_group_name_Hall 'P 1'
loop_
_atom_site_label
_atom_site_fract_x
_atom_site_fract_y
_atom_site_fract_z
Nb1 0.000 0.000 0.000
Cu1 0.000 0.500 0.000
Cu2 0.000 0.000 0.500
Cu3 0.500 0.000 0.000
Li1 0.500 0.500 0.500
```

Space group: Pm-3m (221)
Total magnetization: 0.0 μB/f.u.

***

Model b:
DFT (SCAN) results for a crystal of LiNbCu3 relaxed with PBEsol.

```
data_LiNbCu3
_chemical_formula_sum 'Li1 Nb1 Cu3'
_cell_length_a 4.007
_cell_length_b 4.007
_cell_length_c 4.007
_cell_angle_alpha 90.00
_cell_angle_beta 90.00
_cell_angle_gamma 90.00
_space_group_name_H-M_alt 'P 1'
_space_group_IT_number 1
_space_group_name_Hall 'P 1'
loop_
_atom_site_label
_atom_site_fract_x
_atom_site_fract_y
_atom_site_fract_z
Nb1 0.500 0.500 0.500
Cu1 0.000 0.500 0.000
Cu2 0.000 0.000 0.500
Cu3 0.500 0.000 0.000
Li1 0.000 0.000 0.000
```

Space group: Pm-3m (221)
Total magnetization: 1.7 μB/f.u.

***

Stability, descending: model b, model a

***

Model a:
DFT (SCAN) results for a crystal of Li2CuP4O12 relaxed with PBEsol.

```
data_Li2CuP4O12
_chemical_formula_sum 'Li4 Cu2 P8 O24'
_cell_length_a 7.401
_cell_length_b 8.170
_cell_length_c 8.170
_cell_angle_alpha 112.66
_cell_angle_beta 91.57
_cell_angle_gamma 91.57
_space_group_name_H-M_alt 'P 1'
_space_group_IT_number 1
_space_group_name_Hall 'P 1'
loop_
_atom_site_label
_atom_site_fract_x
_atom_site_fract_y
_atom_site_fract_z
Li1 0.188 0.824 0.507
Li2 0.812 0.176 0.493
Li3 0.312 0.493 0.176
Li4 0.688 0.507 0.824
Cu1 0.750 0.871 0.129
Cu2 0.250 0.129 0.871
P1 0.889 0.564 0.224
P2 0.184 0.071 0.228
P3 0.316 0.772 0.929
P4 0.816 0.929 0.772
P5 0.111 0.436 0.776
P6 0.684 0.228 0.071
P7 0.389 0.224 0.564
P8 0.611 0.776 0.436
O1 0.750 0.126 0.874
O2 0.672 0.104 0.168
O3 0.328 0.896 0.832
O4 0.828 0.832 0.896
O5 0.476 0.667 0.934
O6 0.976 0.934 0.667
O7 0.139 0.645 0.847
O8 0.639 0.847 0.645
O9 0.181 0.372 0.917
O10 0.681 0.917 0.372
O11 0.422 0.702 0.386
O12 0.250 0.381 0.619
O13 0.250 0.874 0.126
O14 0.524 0.333 0.066
O15 0.078 0.614 0.298
O16 0.922 0.386 0.702
O17 0.750 0.619 0.381
O18 0.578 0.298 0.614
O19 0.319 0.083 0.628
O20 0.819 0.628 0.083
O21 0.361 0.153 0.355
O22 0.861 0.355 0.153
O23 0.024 0.066 0.333
O24 0.172 0.168 0.104
```

Space group: C2/c (15)
Total magnetization: 1.1 μB/f.u.

***

Model b:
DFT (SCAN) results for a crystal of Li2CuP4O12 relaxed with PBEsol.

```
data_Li2CuP4O12
_chemical_formula_sum 'Li8 Cu4 P16 O48'
_cell_length_a 7.339
_cell_length_b 10.909
_cell_length_c 12.319
_cell_angle_alpha 90.00
_cell_angle_beta 98.45
_cell_angle_gamma 90.00
_space_group_name_H-M_alt 'P 1'
_space_group_IT_number 1
_space_group_name_Hall 'P 1'
loop_
_atom_site_label
_atom_site_fract_x
_atom_site_fract_y
_atom_site_fract_z
Li1 0.374 0.849 0.214
Li2 0.626 0.349 0.286
Li3 0.375 0.051 0.344
Li4 0.625 0.551 0.156
Li5 0.375 0.449 0.844
Li6 0.625 0.949 0.656
Li7 0.374 0.651 0.714
Li8 0.626 0.151 0.786
Cu1 0.995 0.758 0.684
Cu2 0.005 0.258 0.816
Cu3 0.995 0.742 0.184
Cu4 0.005 0.242 0.316
P1 0.098 0.253 0.077
P2 0.357 0.589 0.317
P3 0.493 0.288 0.046
P4 0.507 0.788 0.454
P5 0.902 0.747 0.923
P6 0.643 0.089 0.183
P7 0.970 0.979 0.828
P8 0.030 0.479 0.672
P9 0.902 0.753 0.423
P10 0.098 0.247 0.577
P11 0.970 0.521 0.328
P12 0.030 0.021 0.172
P13 0.357 0.911 0.817
P14 0.493 0.212 0.546
P15 0.507 0.712 0.954
P16 0.643 0.411 0.683
O1 0.315 0.261 0.108
O2 0.405 0.656 0.435
O3 0.511 0.507 0.298
O4 0.400 0.883 0.385
O5 0.562 0.803 0.574
O6 0.600 0.383 0.115
O7 0.710 0.319 0.770
O8 0.813 0.497 0.658
O9 0.489 0.007 0.202
O10 0.985 0.694 0.829
O11 0.032 0.307 0.966
O12 0.595 0.156 0.065
O13 0.685 0.761 0.392
O14 0.889 0.103 0.847
O15 0.937 0.894 0.929
O16 0.893 0.916 0.722
O17 0.107 0.416 0.778
O18 0.562 0.697 0.074
O19 0.063 0.394 0.571
O20 0.111 0.603 0.653
O21 0.710 0.181 0.270
O22 0.813 0.003 0.158
O23 0.968 0.807 0.534
O24 0.015 0.194 0.671
O25 0.985 0.806 0.329
O26 0.032 0.193 0.466
O27 0.187 0.997 0.842
O28 0.290 0.819 0.730
O29 0.889 0.397 0.347
O30 0.937 0.606 0.429
O31 0.438 0.303 0.926
O32 0.893 0.584 0.222
O33 0.107 0.084 0.278
O34 0.063 0.106 0.071
O35 0.111 0.897 0.153
O36 0.315 0.239 0.608
O37 0.405 0.844 0.935
O38 0.968 0.693 0.034
O39 0.015 0.306 0.171
O40 0.511 0.993 0.798
O41 0.187 0.503 0.342
O42 0.290 0.681 0.230
O43 0.400 0.617 0.885
O44 0.438 0.197 0.426
O45 0.600 0.117 0.615
O46 0.489 0.493 0.702
O47 0.595 0.344 0.565
O48 0.685 0.739 0.892
```

Space group: P2_1/c (14)
Total magnetization: 1.0 μB/f.u.

***

Stability, descending: model a, model b

***

Model a:
DFT (SCAN) results for a crystal of Li2CuP4O12 relaxed with PBEsol.

```
data_Li2CuP4O12
_chemical_formula_sum 'Li2 Cu1 P4 O12'
_cell_length_a 5.188
_cell_length_b 6.902
_cell_length_c 7.051
_cell_angle_alpha 107.89
_cell_angle_beta 94.90
_cell_angle_gamma 106.59
_space_group_name_H-M_alt 'P 1'
_space_group_IT_number 1
_space_group_name_Hall 'P 1'
loop_
_atom_site_label
_atom_site_fract_x
_atom_site_fract_y
_atom_site_fract_z
Li1 0.343 0.277 0.431
Li2 0.657 0.723 0.569
Cu1 0.000 0.000 0.000
P1 0.331 0.791 0.208
P2 0.135 0.577 0.771
P3 0.865 0.423 0.229
P4 0.669 0.209 0.792
O1 0.037 0.274 0.201
O2 0.301 0.561 0.609
O3 0.963 0.726 0.799
O4 0.669 0.362 0.016
O5 0.331 0.638 0.984
O6 0.280 0.993 0.191
O7 0.699 0.439 0.391
O8 0.419 0.179 0.655
O9 0.720 0.007 0.809
O10 0.057 0.662 0.265
O11 0.943 0.338 0.735
O12 0.581 0.821 0.345
```

Space group: P-1 (2)
Total magnetization: 1.0 μB/f.u.

***

Model b:
DFT (SCAN) results for a crystal of Li2CuP4O12 relaxed with PBEsol.

```
data_Li2CuP4O12
_chemical_formula_sum 'Li8 Cu4 P16 O48'
_cell_length_a 9.325
_cell_length_b 9.292
_cell_length_c 9.883
_cell_angle_alpha 90.00
_cell_angle_beta 90.00
_cell_angle_gamma 90.00
_space_group_name_H-M_alt 'P 1'
_space_group_IT_number 1
_space_group_name_Hall 'P 1'
loop_
_atom_site_label
_atom_site_fract_x
_atom_site_fract_y
_atom_site_fract_z
Li1 0.904 0.990 0.171
Li2 0.096 0.010 0.829
Li3 0.404 0.010 0.829
Li4 0.596 0.490 0.329
Li5 0.904 0.490 0.329
Li6 0.596 0.990 0.171
Li7 0.404 0.510 0.671
Li8 0.096 0.510 0.671
Cu1 0.250 0.001 0.201
Cu2 0.750 0.499 0.701
Cu3 0.250 0.501 0.299
Cu4 0.750 0.999 0.799
P1 0.250 0.224 0.469
P2 0.750 0.276 0.969
P3 0.964 0.211 0.607
P4 0.536 0.211 0.607
P5 0.250 0.806 0.613
P6 0.464 0.789 0.393
P7 0.036 0.789 0.393
P8 0.750 0.776 0.531
P9 0.250 0.724 0.031
P10 0.964 0.711 0.893
P11 0.536 0.711 0.893
P12 0.750 0.694 0.113
P13 0.250 0.306 0.887
P14 0.464 0.289 0.107
P15 0.036 0.289 0.107
P16 0.750 0.194 0.387
O1 0.883 0.644 0.022
O2 0.934 0.118 0.728
O3 0.750 0.114 0.957
O4 0.750 0.100 0.266
O5 0.250 0.900 0.734
O6 0.250 0.886 0.043
O7 0.434 0.882 0.272
O8 0.066 0.882 0.272
O9 0.942 0.871 0.886
O10 0.558 0.871 0.886
O11 0.750 0.864 0.656
O12 0.383 0.856 0.522
O13 0.117 0.856 0.522
O14 0.750 0.854 0.129
O15 0.875 0.825 0.433
O16 0.625 0.825 0.433
O17 0.375 0.675 0.933
O18 0.125 0.675 0.933
O19 0.250 0.646 0.629
O20 0.566 0.118 0.728
O21 0.617 0.644 0.022
O22 0.250 0.636 0.156
O23 0.442 0.629 0.386
O24 0.058 0.629 0.386
O25 0.934 0.618 0.772
O26 0.566 0.618 0.772
O27 0.750 0.614 0.543
O28 0.750 0.600 0.234
O29 0.250 0.400 0.766
O30 0.250 0.386 0.457
O31 0.434 0.382 0.228
O32 0.066 0.382 0.228
O33 0.942 0.371 0.614
O34 0.558 0.371 0.614
O35 0.750 0.364 0.844
O36 0.383 0.356 0.978
O37 0.117 0.356 0.978
O38 0.750 0.354 0.371
O39 0.875 0.325 0.067
O40 0.625 0.325 0.067
O41 0.375 0.175 0.567
O42 0.125 0.175 0.567
O43 0.250 0.146 0.871
O44 0.883 0.144 0.478
O45 0.058 0.129 0.114
O46 0.250 0.136 0.344
O47 0.442 0.129 0.114
O48 0.617 0.144 0.478
```

Space group: Pnma (62)
Total magnetization: 1.0 μB/f.u.

***

Stability, descending: model a, model b

***

Model a:
DFT (SCAN) results for a crystal of LiCuP4O12 relaxed with PBEsol.

```
data_LiCuP4O12
_chemical_formula_sum 'Li1 Cu1 P4 O12'
_cell_length_a 5.393
_cell_length_b 6.651
_cell_length_c 7.100
_cell_angle_alpha 109.24
_cell_angle_beta 93.82
_cell_angle_gamma 105.55
_space_group_name_H-M_alt 'P 1'
_space_group_IT_number 1
_space_group_name_Hall 'P 1'
loop_
_atom_site_label
_atom_site_fract_x
_atom_site_fract_y
_atom_site_fract_z
Li1 0.388 0.305 0.457
Cu1 0.981 0.991 0.999
P1 0.318 0.785 0.193
P2 0.108 0.555 0.766
P3 0.875 0.434 0.232
P4 0.668 0.209 0.807
O1 0.919 0.307 0.720
O2 0.700 0.001 0.843
O3 0.422 0.175 0.679
O4 0.078 0.677 0.288
O5 0.289 0.600 0.975
O6 0.579 0.847 0.312
O7 0.939 0.712 0.815
O8 0.700 0.400 0.025
O9 0.258 0.990 0.165
O10 0.047 0.277 0.177
O11 0.713 0.424 0.388
O12 0.264 0.547 0.603
```

Space group: P1 (1)
Total magnetization: 0.0 μB/f.u.

***

Model b:
DFT (SCAN) results for a crystal of LiCuP4O12 relaxed with PBEsol.

```
data_LiCuP4O12
_chemical_formula_sum 'Li4 Cu4 P16 O48'
_cell_length_a 9.012
_cell_length_b 9.288
_cell_length_c 10.011
_cell_angle_alpha 90.00
_cell_angle_beta 90.00
_cell_angle_gamma 90.00
_space_group_name_H-M_alt 'P 1'
_space_group_IT_number 1
_space_group_name_Hall 'P 1'
loop_
_atom_site_label
_atom_site_fract_x
_atom_site_fract_y
_atom_site_fract_z
Li1 0.866 0.749 0.856
Li2 0.366 0.751 0.144
Li3 0.634 0.251 0.356
Li4 0.134 0.249 0.644
Cu1 0.494 0.233 0.705
Cu2 0.506 0.733 0.795
Cu3 0.994 0.267 0.295
Cu4 0.006 0.767 0.205
P1 0.695 0.953 0.618
P2 0.202 0.040 0.111
P3 0.798 0.540 0.389
P4 0.499 0.015 0.988
P5 0.498 0.430 0.113
P6 0.501 0.515 0.512
P7 0.805 0.047 0.118
P8 0.195 0.547 0.382
P9 0.002 0.570 0.613
P10 0.305 0.453 0.882
P11 0.999 0.485 0.012
P12 0.998 0.070 0.887
P13 0.702 0.460 0.889
P14 0.502 0.930 0.387
P15 0.298 0.960 0.611
P16 0.001 0.985 0.488
O1 0.975 0.913 0.869
O2 0.136 0.447 0.918
O3 0.011 0.146 0.468
O4 0.825 0.141 0.241
O5 0.675 0.859 0.741
O6 0.349 0.903 0.469
O7 0.146 0.133 0.222
O8 0.651 0.403 0.031
O9 0.996 0.386 0.128
O10 0.325 0.359 0.759
O11 0.122 0.629 0.505
O12 0.511 0.354 0.532
O13 0.175 0.879 0.124
O14 0.149 0.391 0.374
O15 0.876 0.440 0.904
O16 0.325 0.121 0.624
O17 0.622 0.871 0.495
O18 0.636 0.053 0.082
O19 0.502 0.331 0.228
O20 0.175 0.641 0.259
O21 0.351 0.609 0.874
O22 0.849 0.597 0.531
O23 0.854 0.633 0.278
O24 0.376 0.060 0.096
O25 0.649 0.109 0.626
O26 0.498 0.831 0.272
O27 0.124 0.940 0.596
O28 0.354 0.867 0.722
O29 0.025 0.413 0.631
O30 0.002 0.169 0.772
O31 0.504 0.614 0.628
O32 0.489 0.854 0.968
O33 0.378 0.371 0.005
O34 0.496 0.114 0.872
O35 0.624 0.560 0.404
O36 0.364 0.553 0.418
O37 0.675 0.621 0.876
O38 0.004 0.886 0.372
O39 0.864 0.947 0.582
O40 0.151 0.097 0.969
O41 0.989 0.646 0.032
O42 0.475 0.587 0.131
O43 0.851 0.891 0.126
O44 0.646 0.367 0.778
O45 0.825 0.379 0.376
O46 0.998 0.669 0.728
O47 0.525 0.087 0.369
O48 0.878 0.129 0.995
```

Space group: P2_12_12_1 (19)
Total magnetization: 2.0 μB/f.u.

***

Stability, descending: model b, model a